Computed, not measured: an optimized crystal structure of Rb2PuCrF6 at the PBE+U level of DFT.

Calculated values
Crystal system = orthorhombic
E = -0.231 hartree per atom
Density = 4916 kg/m³

abc: 6.577 8.855 6.739
angles: 90.00 90.00 90.00
Fractional coordinates of all 20 atoms:
Rb 0.250 0.011 0.213
Rb 0.250 0.489 0.213
Rb 0.750 0.511 0.787
Rb 0.750 0.989 0.787
Pu 0.250 0.250 0.717
Pu 0.750 0.750 0.283
Cr 0.250 0.750 0.771
Cr 0.750 0.250 0.229
F 0.006 0.750 0.038
F 0.017 0.250 0.456
F 0.250 0.514 0.780
F 0.250 0.986 0.780
F 0.483 0.250 0.456
F 0.494 0.750 0.038
F 0.506 0.250 0.962
F 0.517 0.750 0.544
F 0.750 0.014 0.220
F 0.750 0.486 0.220
F 0.983 0.750 0.544
F 0.994 0.250 0.962